# 1
# CeNdTm3 (PBE, optimized geometry)
# * energy of formation from the pure elements: 47 meV per atom
# * energy above the most stable polymorph in this dataset: 0 meV per atom
data_CeNdTm3
_symmetry_space_group_name_H-M 'P n m a'
_symmetry_Int_Tables_number 62
_cell_length_a 9.968
_cell_length_b 3.526
_cell_length_c 17.543
_cell_angle_alpha 90.00
_cell_angle_beta 90.00
_cell_angle_gamma 90.00
loop_
_symmetry_equiv_pos_as_xyz
'x,y,z'
'-x,-y,-z'
'-x+1/2,-y,z+1/2'
'x+1/2,y,-z+1/2'
'x+1/2,-y+1/2,-z+1/2'
'-x+1/2,y+1/2,z+1/2'
'-x,y+1/2,-z'
'x,-y+1/2,z'
loop_
_atom_site_label
_atom_site_fract_x
_atom_site_fract_y
_atom_site_fract_z
Ce1 0.119 0.250 0.048
Nd1 0.125 0.250 0.648
Tm1 0.122 0.250 0.851
Tm2 0.127 0.250 0.250
Tm3 0.131 0.250 0.450



# 2
# Ce2NdTm (PBE, optimized geometry)
# * energy of formation from the pure elements: 246 meV per atom
# * energy above the most stable polymorph in this dataset: 147 meV per atom
data_Ce2NdTm
_symmetry_space_group_name_H-M 'R -3 m'
_symmetry_Int_Tables_number 166
_symmetry_space_group_name_Hall '-R 3 2"'
_cell_length_a 3.3647
_cell_length_b 3.3647
_cell_length_c 37.2046
_cell_angle_alpha 90.00
_cell_angle_beta 90.00
_cell_angle_gamma 120.00
loop_
_atom_site_label
_atom_site_fract_x
_atom_site_fract_y
_atom_site_fract_z
Ce1 0.0000 0.0000 0.0840
Nd1 0.0000 0.0000 0.5000
Tm1 0.0000 0.0000 0.0000



# 3
# Ce2NdTm (PBE, optimized geometry)
# * energy of formation from the pure elements: 258 meV per atom
# * energy above the most stable polymorph in this dataset: 159 meV per atom
data_Ce2NdTm
_symmetry_space_group_name_H-M 'F m -3 m'
_symmetry_Int_Tables_number 225
_symmetry_space_group_name_Hall '-F 4 2 3'
_cell_length_a 8.014
_cell_length_b 8.014
_cell_length_c 8.014
_cell_angle_alpha 90.00
_cell_angle_beta 90.00
_cell_angle_gamma 90.00
loop_
_atom_site_label
_atom_site_fract_x
_atom_site_fract_y
_atom_site_fract_z
Ce1 0.250 0.250 0.250
Nd1 0.000 0.000 0.000
Tm1 0.000 0.000 0.500



# 4
# CeNdTm3 (PBE, optimized geometry)
# * energy of formation from the pure elements: 66 meV per atom
# * energy above the most stable polymorph in this dataset: 18 meV per atom
data_CeNdTm3
_symmetry_space_group_name_H-M 'P -1'
_symmetry_Int_Tables_number 2
_cell_length_a 6.112
_cell_length_b 6.135
_cell_length_c 9.332
_cell_angle_alpha 108.84
_cell_angle_beta 102.62
_cell_angle_gamma 99.88
loop_
_symmetry_equiv_pos_as_xyz
'x,y,z'
'-x,-y,-z'
loop_
_atom_site_label
_atom_site_fract_x
_atom_site_fract_y
_atom_site_fract_z
Ce1 0.241 0.192 0.144
Nd1 0.247 0.799 0.347
Tm1 0.252 0.599 0.949
Tm2 0.252 0.995 0.753
Tm3 0.253 0.403 0.550



# 5
# CeNd2Tm (PBE, optimized geometry)
# * energy of formation from the pure elements: 197 meV per atom
# * energy above the most stable polymorph in this dataset: 127 meV per atom
data_CeNd2Tm
_symmetry_space_group_name_H-M 'F m -3 m'
_symmetry_Int_Tables_number 225
_symmetry_space_group_name_Hall '-F 4 2 3'
_cell_length_a 8.119
_cell_length_b 8.119
_cell_length_c 8.119
_cell_angle_alpha 90.00
_cell_angle_beta 90.00
_cell_angle_gamma 90.00
loop_
_atom_site_label
_atom_site_fract_x
_atom_site_fract_y
_atom_site_fract_z
Ce1 0.000 0.000 0.000
Nd1 0.250 0.250 0.250
Tm1 0.000 0.000 0.500



# 6
# CeNd6Tm2 (PBE, optimized geometry)
# * energy of formation from the pure elements: 47 meV per atom
data_CeNd6Tm2
_symmetry_space_group_name_H-M 'F m m m'
_symmetry_Int_Tables_number 69
_symmetry_space_group_name_Hall '-F 2 2'
_cell_length_a 5.140
_cell_length_b 15.310
_cell_length_c 15.385
_cell_angle_alpha 90.00
_cell_angle_beta 90.00
_cell_angle_gamma 90.00
loop_
_atom_site_label
_atom_site_fract_x
_atom_site_fract_y
_atom_site_fract_z
Ce1 0.000 0.000 0.000
Nd1 0.000 0.000 0.338
Nd2 0.000 0.166 0.164
Tm1 0.000 0.166 0.500



# 7
# CeNd14Tm (PBE, optimized geometry)
# * energy of formation from the pure elements: 30 meV per atom
data_CeNd14Tm
_symmetry_space_group_name_H-M 'A m m 2'
_symmetry_Int_Tables_number 38
_cell_length_a 10.367
_cell_length_b 10.350
_cell_length_c 10.354
_cell_angle_alpha 90.00
_cell_angle_beta 90.00
_cell_angle_gamma 90.00
loop_
_symmetry_equiv_pos_as_xyz
'x,y,z'
'-x,-y,z'
'-x,y,z'
'x,-y,z'
'x,y+1/2,z+1/2'
'-x,-y+1/2,z+1/2'
'-x,y+1/2,z+1/2'
'x,-y+1/2,z+1/2'
loop_
_atom_site_label
_atom_site_fract_x
_atom_site_fract_y
_atom_site_fract_z
Ce1 0.000 0.000 0.000
Nd1 0.000 0.250 0.250
Nd2 0.246 0.000 0.249
Nd3 0.247 0.000 0.750
Nd4 0.247 0.250 0.000
Nd5 0.500 0.000 0.000
Nd6 0.500 0.000 0.500
Nd7 0.500 0.250 0.250
Tm1 0.000 0.000 0.500



# 8
# CeNd2Tm (PBE, optimized geometry)
# * energy of formation from the pure elements: 186 meV per atom
# * energy above the most stable polymorph in this dataset: 117 meV per atom
data_CeNd2Tm
_symmetry_space_group_name_H-M 'R -3 m'
_symmetry_Int_Tables_number 166
_symmetry_space_group_name_Hall '-R 3 2"'
_cell_length_a 3.4638
_cell_length_b 3.4638
_cell_length_c 37.4905
_cell_angle_alpha 90.00
_cell_angle_beta 90.00
_cell_angle_gamma 120.00
loop_
_atom_site_label
_atom_site_fract_x
_atom_site_fract_y
_atom_site_fract_z
Ce1 0.0000 0.0000 0.0000
Nd1 0.0000 0.0000 0.0885
Tm1 0.0000 0.0000 0.5000



# 9
# CeNd3Tm4 (PBE, optimized geometry)
# * energy of formation from the pure elements: 157 meV per atom
data_CeNd3Tm4
_symmetry_space_group_name_H-M 'I m m m'
_symmetry_Int_Tables_number 71
_symmetry_space_group_name_Hall '-I 2 2'
_cell_length_a 3.403
_cell_length_b 11.585
_cell_length_c 13.080
_cell_angle_alpha 90.00
_cell_angle_beta 90.00
_cell_angle_gamma 90.00
loop_
_atom_site_label
_atom_site_fract_x
_atom_site_fract_y
_atom_site_fract_z
Ce1 0.000 0.000 0.000
Nd1 0.000 0.000 0.500
Nd2 0.000 0.500 0.263
Tm1 0.000 0.250 0.133



# 10
# CeNd5Tm4 (PBE, optimized geometry)
# * energy of formation from the pure elements: 107 meV per atom
data_CeNd5Tm4
_symmetry_space_group_name_H-M 'C 1 2/m 1'
_symmetry_Int_Tables_number 12
_cell_length_a 17.882
_cell_length_b 3.502
_cell_length_c 10.979
_cell_angle_alpha 90.00
_cell_angle_beta 106.49
_cell_angle_gamma 90.00
loop_
_symmetry_equiv_pos_as_xyz
'x,y,z'
'-x,-y,-z'
'-x,y,-z'
'x,-y,z'
'x+1/2,y+1/2,z'
'-x+1/2,-y+1/2,-z'
'-x+1/2,y+1/2,-z'
'x+1/2,-y+1/2,z'
loop_
_atom_site_label
_atom_site_fract_x
_atom_site_fract_y
_atom_site_fract_z
Ce1 0.000 0.000 0.000
Nd1 0.000 0.000 0.500
Nd2 0.104 0.500 0.281
Nd3 0.205 0.500 0.602
Tm1 0.095 0.500 0.815
Tm2 0.196 0.000 0.079



# 11
# CeNd6Tm10 (PBE, optimized geometry)
# * energy of formation from the pure elements: 145 meV per atom
data_CeNd6Tm10
_symmetry_space_group_name_H-M 'P -3 1 m'
_symmetry_Int_Tables_number 162
_symmetry_space_group_name_Hall '-P 3 2'
_cell_length_a 9.6288
_cell_length_b 9.6288
_cell_length_c 6.8741
_cell_angle_alpha 90.00
_cell_angle_beta 90.00
_cell_angle_gamma 120.00
loop_
_atom_site_label
_atom_site_fract_x
_atom_site_fract_y
_atom_site_fract_z
Ce1 0.0000 0.0000 0.0000
Nd1 0.0000 0.3793 0.8006
Tm1 0.0000 0.2723 0.3203
Tm2 0.3333 0.6667 0.0000
Tm3 0.3333 0.6667 0.5000



# 12
# CeNd2Tm (PBE, optimized geometry)
# * energy of formation from the pure elements: 75 meV per atom
# * energy above the most stable polymorph in this dataset: 5 meV per atom
data_CeNd2Tm
_symmetry_space_group_name_H-M 'P 4/m m m'
_symmetry_Int_Tables_number 123
_symmetry_space_group_name_Hall '-P 4 2'
_cell_length_a 5.082
_cell_length_b 5.082
_cell_length_c 5.050
_cell_angle_alpha 90.00
_cell_angle_beta 90.00
_cell_angle_gamma 90.00
loop_
_atom_site_label
_atom_site_fract_x
_atom_site_fract_y
_atom_site_fract_z
Ce1 0.000 0.000 0.000
Nd1 0.000 0.500 0.500
Tm1 0.500 0.500 0.000



# 13
# CeNd5Tm (PBE, optimized geometry)
# * energy of formation from the pure elements: 191 meV per atom
data_CeNd5Tm
_symmetry_space_group_name_H-M 'P -1'
_symmetry_Int_Tables_number 2
_cell_length_a 6.310
_cell_length_b 6.635
_cell_length_c 6.655
_cell_angle_alpha 118.18
_cell_angle_beta 95.98
_cell_angle_gamma 95.50
loop_
_symmetry_equiv_pos_as_xyz
'x,y,z'
'-x,-y,-z'
loop_
_atom_site_label
_atom_site_fract_x
_atom_site_fract_y
_atom_site_fract_z
Ce1 0.000 0.000 0.000
Nd1 0.000 0.500 0.000
Nd2 0.269 0.076 0.580
Nd3 0.498 0.313 0.190
Tm1 0.000 0.500 0.500



# 14
# CeNdY2Tm (PBE, optimized geometry)
# * energy of formation from the pure elements: 282 meV per atom
data_CeNdY2Tm
_symmetry_space_group_name_H-M 'P m m a'
_symmetry_Int_Tables_number 51
_cell_length_a 5.855
_cell_length_b 7.714
_cell_length_c 7.330
_cell_angle_alpha 90.00
_cell_angle_beta 90.00
_cell_angle_gamma 90.00
loop_
_symmetry_equiv_pos_as_xyz
'x,y,z'
'-x,-y,-z'
'-x+1/2,-y,z'
'x+1/2,y,-z'
'x+1/2,-y,-z'
'-x+1/2,y,z'
'-x,y,-z'
'x,-y,z'
loop_
_atom_site_label
_atom_site_fract_x
_atom_site_fract_y
_atom_site_fract_z
Ce1 0.000 0.000 0.000
Nd1 0.250 0.500 0.161
Y1 0.250 0.288 0.673
Tm1 0.250 0.000 0.382



# 15
# CeNdY3Tm (PBE, optimized geometry)
# * energy of formation from the pure elements: 147 meV per atom
data_CeNdY3Tm
_symmetry_space_group_name_H-M 'C m c m'
_symmetry_Int_Tables_number 63
_symmetry_space_group_name_Hall '-C 2c 2'
_cell_length_a 5.843
_cell_length_b 11.455
_cell_length_c 11.690
_cell_angle_alpha 90.00
_cell_angle_beta 90.00
_cell_angle_gamma 90.00
loop_
_atom_site_label
_atom_site_fract_x
_atom_site_fract_y
_atom_site_fract_z
Ce1 0.000 0.005 0.250
Nd1 0.000 0.500 0.000
Y1 0.000 0.171 0.506
Y2 0.000 0.326 0.250
Tm1 0.000 0.332 0.750



# 16
# CeNd6YTm2 (PBE, optimized geometry)
# * energy of formation from the pure elements: 238 meV per atom
data_CeNd6YTm2
_symmetry_space_group_name_H-M 'C 1 2/m 1'
_symmetry_Int_Tables_number 12
_cell_length_a 11.214
_cell_length_b 7.101
_cell_length_c 8.852
_cell_angle_alpha 90.00
_cell_angle_beta 102.68
_cell_angle_gamma 90.00
loop_
_symmetry_equiv_pos_as_xyz
'x,y,z'
'-x,-y,-z'
'-x,y,-z'
'x,-y,z'
'x+1/2,y+1/2,z'
'-x+1/2,-y+1/2,-z'
'-x+1/2,y+1/2,-z'
'x+1/2,-y+1/2,z'
loop_
_atom_site_label
_atom_site_fract_x
_atom_site_fract_y
_atom_site_fract_z
Ce1 0.000 0.000 0.000
Nd1 0.128 0.000 0.420
Nd2 0.172 0.269 0.799
Y1 0.000 0.500 0.500
Tm1 0.092 0.500 0.161



# 17
# CeNdYTm (PBE, optimized geometry)
# * energy of formation from the pure elements: 154 meV per atom
data_CeNdYTm
_symmetry_space_group_name_H-M 'F -4 3 m'
_symmetry_Int_Tables_number 216
_symmetry_space_group_name_Hall 'F -4 2 3'
_cell_length_a 8.047
_cell_length_b 8.047
_cell_length_c 8.047
_cell_angle_alpha 90.00
_cell_angle_beta 90.00
_cell_angle_gamma 90.00
loop_
_atom_site_label
_atom_site_fract_x
_atom_site_fract_y
_atom_site_fract_z
Ce1 0.000 0.000 0.000
Nd1 0.000 0.000 0.500
Y1 0.250 0.250 0.750
Tm1 0.250 0.250 0.250



# 18
# Ce2Nd3Y6Tm (PBE, optimized geometry)
# * energy of formation from the pure elements: 45 meV per atom
data_Ce2Nd3Y6Tm
_symmetry_space_group_name_H-M 'C 1 2/m 1'
_symmetry_Int_Tables_number 12
_cell_length_a 6.215
_cell_length_b 10.762
_cell_length_c 11.830
_cell_angle_alpha 90.00
_cell_angle_beta 100.07
_cell_angle_gamma 90.00
loop_
_symmetry_equiv_pos_as_xyz
'x,y,z'
'-x,-y,-z'
'-x,y,-z'
'x,-y,z'
'x+1/2,y+1/2,z'
'-x+1/2,-y+1/2,-z'
'-x+1/2,y+1/2,-z'
'x+1/2,-y+1/2,z'
loop_
_atom_site_label
_atom_site_fract_x
_atom_site_fract_y
_atom_site_fract_z
Ce1 0.000 0.166 0.000
Nd1 0.000 0.000 0.500
Nd2 0.000 0.334 0.500
Y1 0.247 0.000 0.246
Y2 0.249 0.333 0.245
Tm1 0.000 0.500 0.000



# 19
# Ce2NdY6Tm3 (PBE, optimized geometry)
# * energy of formation from the pure elements: 58 meV per atom
data_Ce2NdY6Tm3
_symmetry_space_group_name_H-M 'C 1 2/m 1'
_symmetry_Int_Tables_number 12
_cell_length_a 6.158
_cell_length_b 10.664
_cell_length_c 11.772
_cell_angle_alpha 90.00
_cell_angle_beta 100.05
_cell_angle_gamma 90.00
loop_
_symmetry_equiv_pos_as_xyz
'x,y,z'
'-x,-y,-z'
'-x,y,-z'
'x,-y,z'
'x+1/2,y+1/2,z'
'-x+1/2,-y+1/2,-z'
'-x+1/2,y+1/2,-z'
'x+1/2,-y+1/2,z'
loop_
_atom_site_label
_atom_site_fract_x
_atom_site_fract_y
_atom_site_fract_z
Ce1 0.000 0.167 0.000
Nd1 0.000 0.500 0.000
Y1 0.248 0.168 0.748
Y2 0.249 0.000 0.252
Tm1 0.000 0.000 0.500
Tm2 0.000 0.334 0.500



# 20
# CeNd6Y2Tm (PBE, optimized geometry)
# * energy of formation from the pure elements: 236 meV per atom
data_CeNd6Y2Tm
_symmetry_space_group_name_H-M 'C 1 2/m 1'
_symmetry_Int_Tables_number 12
_cell_length_a 11.353
_cell_length_b 7.105
_cell_length_c 8.848
_cell_angle_alpha 90.00
_cell_angle_beta 103.87
_cell_angle_gamma 90.00
loop_
_symmetry_equiv_pos_as_xyz
'x,y,z'
'-x,-y,-z'
'-x,y,-z'
'x,-y,z'
'x+1/2,y+1/2,z'
'-x+1/2,-y+1/2,-z'
'-x+1/2,y+1/2,-z'
'x+1/2,-y+1/2,z'
loop_
_atom_site_label
_atom_site_fract_x
_atom_site_fract_y
_atom_site_fract_z
Ce1 0.000 0.000 0.000
Nd1 0.126 0.000 0.418
Nd2 0.171 0.267 0.795
Y1 0.093 0.500 0.167
Tm1 0.000 0.500 0.500